# 1
Material: PuAs2Ru
Method: DFT, GGA-PBE
State: optimized geometry

Properties
total energy: -8.883 eV/atom
ΔH_f (0 K): -656 meV/atom
distance to the lowest polymorph of the same formula: 0.0000 eV/atom

extended XYZ file:
```
8
Lattice="-2.871 0.887 2.738 -2.032 -3.363 -1.042 4.791 -4.947 6.625" Properties=species:S:1:pos:R:3 pbc="T T T"
As -0.056 -3.712 4.161
As 3.072 -5.902 5.132
As 2.395 -2.473 3.312
As -0.732 -0.283 2.342
Pu 0.259 -2.998 1.242
Pu 2.081 -3.187 6.231
Ru 0.000 0.000 0.000
Ru -2.452 -1.238 0.848
```


# 2
Material: TiAlFeIr2
Method: DFT, GGA-PBE
State: optimized geometry

Properties
total energy: -6.116 eV/atom
ΔH_f (0 K): 1448 meV/atom

extended XYZ file:
```
5
Lattice="-2.617 -3.095 -1.977 2.677 -3.432 1.829 -2.636 -0.107 3.657" Properties=species:S:1:pos:R:3 pbc="T T T"
Ir -1.309 -1.548 -0.988
Ir -1.318 -0.053 1.829
Ti 0.000 0.000 0.000
Al 1.338 -1.716 0.914
Fe -1.288 -3.317 1.755
```


# 3
Material: TlRhCl2
Method: DFT, GGA-PBE
State: optimized geometry

Properties
formation energy from raw total energies: -47 kJ/mol of formula units
total energy: -3.476 eV/atom
distance to the lowest polymorph of the same formula: 0.3181 eV/atom

extended XYZ file:
```
4
Lattice="3.818 -0.011 0.000 -2.264 3.074 0.000 0.000 0.000 8.983" Properties=species:S:1:pos:R:3 pbc="T T T"
Cl 0.000 0.000 8.549
Cl 0.777 1.531 2.901
Tl 0.777 1.531 6.541
Rh 0.000 0.000 4.467
```